Here is crystalline Sm9Y3Tm2 at its relaxed geometry from Alexandria via LeMat-Bulk. Energies are from PBE.

a = 6.229 Å, b = 16.817 Å, c = 18.294 Å
α = 23.19°, β = 37.57°, γ = 42.41°
Sites, in units of the cell vectors:
Y: 0.931 0.214 0.285
Y: 0.359 0.001 0.928
Y: 0.929 0.714 0.786
Sm: 0.069 0.143 0.500
Sm: 0.211 0.073 0.715
Sm: 0.643 0.856 0.357
Sm: 0.209 0.573 0.216
Sm: 0.068 0.643 0.001
Sm: 0.792 0.284 0.070
Sm: 0.790 0.784 0.571
Sm: 0.358 0.501 0.428
Sm: 0.643 0.356 0.857
Tm: 0.498 0.429 0.643
Tm: 0.499 0.929 0.143

formation energy from the elements = 0.01 eV per atom